NiSe2 | PBE | relaxed

## Properties
magnetization = 0.000 μB per atom
VASP energy = -24.66 eV for the cell shown
E_form (uncorrected) = 140 meV/atom

Cell lengths 12.756, 12.756, 12.756 Å; angles 165.53, 167.57, 19.12 degrees
Fractional positions:
Se 0.683 0.933 0.750
Se 0.317 0.067 0.250
Se 0.442 0.192 0.250
Se 0.558 0.808 0.750
Ni 0.881 0.631 0.250
Ni 0.119 0.369 0.750

---

MgCo2Rh | PBE | relaxed

## Properties
magnetization = 0.946 μB per atom
VASP energy = -43.38 eV for the cell shown

Cell lengths 3.530, 3.530, 9.495 Å; angles 79.29, 79.29, 90.00 degrees
Fractional positions:
Co 0.875 0.865 0.750
Co 0.375 0.385 0.750
Co 0.615 0.125 0.250
Co 0.135 0.625 0.250
Mg 0.250 0.750 0.500
Mg 0.500 0.500 0.000
Rh 0.000 0.000 0.000
Rh 0.750 0.250 0.500

---

MgMo2H | PBE | relaxed

## Properties
magnetization = 0.000 μB per atom
VASP energy = -21.38 eV for the cell shown
offset from the most stable computed form = 780 meV per atom

Cell lengths 4.281, 4.281, 4.281 Å; angles 60.00, 60.00, 60.00 degrees
Fractional positions:
Mo 0.750 0.750 0.750
Mo 0.250 0.250 0.250
H 0.000 0.000 0.000
Mg 0.500 0.500 0.500

---

Li2LaCr | PBE | relaxed

## Properties
magnetization = 0.952 μB per atom
VASP energy = -16.71 eV for the cell shown
offset from the most stable computed form = 65 meV per atom

Cell lengths 5.014, 5.014, 5.014 Å; angles 60.00, 60.00, 60.00 degrees
Fractional positions:
Li 0.250 0.250 0.250
Li 0.750 0.750 0.750
Cr 0.000 0.000 0.000
La 0.500 0.500 0.500

---

DyTmRuAu | PBE | relaxed

## Properties
magnetization = 0.000 μB per atom
VASP energy = -24.08 eV for the cell shown
offset from the most stable computed form = 74 meV per atom

Cell lengths 4.916, 4.916, 4.916 Å; angles 60.00, 60.00, 60.00 degrees
Fractional positions:
Au 0.250 0.250 0.250
Ru 0.750 0.750 0.750
Dy 0.500 0.500 0.500
Tm 0.000 0.000 0.000

---

K2PaSb2Se6 | PBE | relaxed

## Properties
magnetization = 0.095 μB per atom
VASP energy = -50.73 eV for the cell shown
E_form (uncorrected) = -899 meV/atom

Cell lengths 7.309, 7.309, 8.224 Å; angles 98.92, 98.92, 119.72 degrees
Fractional positions:
Se 0.397 0.068 0.700
Se 0.255 0.255 0.300
Se 0.932 0.603 0.300
Se 0.603 0.932 0.300
Se 0.068 0.397 0.700
Se 0.745 0.745 0.700
Pa 0.000 0.000 0.500
Sb 0.669 0.331 0.500
Sb 0.331 0.669 0.500
K 0.830 0.170 0.000
K 0.170 0.830 0.000

---

Sm2Cu2Pt15 | PBE | relaxed

## Properties
magnetization = 0.000 μB per atom
VASP energy = -116.36 eV for the cell shown

Cell lengths 6.972, 6.972, 6.972 Å; angles 83.07, 83.07, 83.07 degrees
Fractional positions:
Pt 0.343 0.343 0.842
Pt 0.158 0.657 0.657
Pt 0.842 0.343 0.343
Pt 0.657 0.657 0.158
Pt 0.311 0.689 0.000
Pt 0.000 0.000 0.500
Pt 0.689 0.311 0.000
Pt 0.000 0.311 0.689
Pt 0.343 0.842 0.343
Pt 0.000 0.500 0.000
Pt 0.689 0.000 0.311
Pt 0.657 0.158 0.657
Pt 0.311 0.000 0.689
Pt 0.500 0.000 0.000
Pt 0.000 0.689 0.311
Cu 0.905 0.905 0.905
Cu 0.095 0.095 0.095
Sm 0.340 0.340 0.340
Sm 0.660 0.660 0.660

---

PmDy6Er2Th | PBE | relaxed

## Properties
magnetization = 0.000 μB per atom
VASP energy = -94.94 eV for the cell shown

Cell lengths 9.564, 8.739, 8.739 Å; angles 116.94, 93.81, 93.81 degrees
Fractional positions:
Th 0.250 0.406 0.594
Th 0.750 0.594 0.406
Er 0.953 0.703 0.806
Er 0.547 0.194 0.297
Er 0.047 0.297 0.194
Er 0.453 0.806 0.703
Dy 0.317 0.978 0.430
Dy 0.441 0.250 0.880
Dy 0.618 0.491 0.703
Dy 0.059 0.120 0.750
Dy 0.882 0.297 0.509
Dy 0.817 0.430 0.978
Dy 0.683 0.022 0.570
Dy 0.559 0.750 0.120
Dy 0.183 0.570 0.022
Dy 0.118 0.703 0.491
Dy 0.941 0.880 0.250
Dy 0.382 0.509 0.297
Pm 0.750 0.026 0.974
Pm 0.250 0.974 0.026

---

NaCo | PBE | relaxed

## Properties
magnetization = 0.138 μB per atom
VASP energy = -55.92 eV for the cell shown

Cell lengths 5.859, 6.719, 6.788 Å; angles 90.00, 90.00, 90.00 degrees
Fractional positions:
Co 0.613 0.379 0.898
Co 0.875 0.381 0.150
Co 0.125 0.881 0.350
Co 0.625 0.619 0.650
Co 0.113 0.121 0.102
Co 0.375 0.119 0.850
Co 0.387 0.879 0.602
Co 0.887 0.621 0.398
Na 0.299 0.736 0.975
Na 0.799 0.764 0.025
Na 0.701 0.236 0.525
Na 0.914 0.962 0.718
Na 0.086 0.462 0.782
Na 0.201 0.264 0.475
Na 0.414 0.538 0.282
Na 0.586 0.038 0.218

---

LiSb2Cl | PBE | relaxed

## Properties
magnetization = 0.000 μB per atom
VASP energy = -12.85 eV for the cell shown
E_form (uncorrected) = -212 meV/atom
offset from the most stable computed form = 604 meV per atom

Cell lengths 3.379, 3.379, 7.904 Å; angles 90.00, 90.00, 89.98 degrees
Fractional positions:
Sb 0.000 0.000 0.540
Sb 0.000 0.000 0.960
Cl 0.500 0.500 0.250
Li 0.500 0.500 0.750

---

Pa4BiTe5 | PBE | relaxed

## Properties
magnetization = 0.477 μB per atom
VASP energy = -63.63 eV for the cell shown
E_form (uncorrected) = -605 meV/atom

Cell lengths 4.245, 9.051, 9.638 Å; angles 101.24, 102.72, 90.00 degrees
Fractional positions:
Bi 0.500 0.000 0.000
Pa 0.998 0.744 0.997
Pa 0.671 0.072 0.343
Pa 0.329 0.928 0.657
Pa 0.002 0.256 0.003
Te 0.835 0.187 0.670
Te 0.167 0.318 0.334
Te 0.833 0.682 0.666
Te 0.500 0.500 0.000
Te 0.165 0.813 0.330

---

Ge2AsS6 | PBE | relaxed

## Properties
magnetization = 0.000 μB per atom
VASP energy = -79.20 eV for the cell shown
E_form (uncorrected) = -106 meV/atom

Cell lengths 6.008, 9.370, 9.370 Å; angles 89.17, 71.26, 71.26 degrees
Fractional positions:
Ge 0.112 0.671 0.829
Ge 0.612 0.829 0.671
Ge 0.888 0.329 0.171
Ge 0.388 0.171 0.329
S 0.413 0.444 0.757
S 0.615 0.056 0.741
S 0.385 0.944 0.259
S 0.087 0.243 0.556
S 0.266 0.334 0.165
S 0.234 0.835 0.666
S 0.734 0.666 0.835
S 0.885 0.259 0.944
S 0.766 0.165 0.334
S 0.587 0.556 0.243
S 0.115 0.741 0.056
S 0.913 0.757 0.444
As 0.750 0.750 0.250
As 0.250 0.250 0.750

---

InSbP2 | PBE | relaxed

## Properties
magnetization = 0.000 μB per atom
VASP energy = -15.96 eV for the cell shown
E_form (uncorrected) = 431 meV/atom
offset from the most stable computed form = 387 meV per atom

Cell lengths 3.443, 3.443, 6.937 Å; angles 90.00, 90.00, 90.00 degrees
Fractional positions:
Sb 0.500 0.500 0.250
P 0.000 0.000 0.013
P 0.000 0.000 0.487
In 0.500 0.500 0.750

---

TaIn2Sb | PBE | relaxed

## Properties
magnetization = 0.000 μB per atom
VASP energy = -20.20 eV for the cell shown
E_form (uncorrected) = 313 meV/atom

Cell lengths 3.099, 3.099, 9.630 Å; angles 90.00, 90.00, 90.00 degrees
Fractional positions:
Sb 0.500 0.500 0.250
In 0.000 0.000 0.532
In 0.000 0.000 0.968
Ta 0.500 0.500 0.750

---

NaLa2HPb | PBE | relaxed

## Properties
magnetization = 0.000 μB per atom
VASP energy = -20.19 eV for the cell shown

Cell lengths 5.112, 5.112, 4.824 Å; angles 90.00, 90.00, 90.00 degrees
Fractional positions:
Pb 0.500 0.500 0.500
H 0.000 0.000 0.000
Na 0.000 0.000 0.500
La 0.500 0.000 0.000
La 0.000 0.500 0.000

---

Ac2Pm3TmTe6 | PBE | relaxed

## Properties
magnetization = 0.000 μB per atom
VASP energy = -62.34 eV for the cell shown
E_form (uncorrected) = -1379 meV/atom

Cell lengths 4.479, 9.171, 10.097 Å; angles 102.07, 102.82, 90.00 degrees
Fractional positions:
Pm 0.824 0.162 0.649
Pm 0.500 0.500 0.000
Pm 0.176 0.838 0.351
Ac 0.167 0.334 0.333
Ac 0.833 0.666 0.667
Te 0.662 0.595 0.324
Te 0.993 0.236 0.986
Te 0.007 0.764 0.014
Te 0.341 0.932 0.683
Te 0.338 0.405 0.676
Te 0.659 0.068 0.317
Tm 0.500 0.000 0.000

---

MgMnCo | PBE | relaxed

## Properties
magnetization = 1.471 μB per atom
VASP energy = -69.44 eV for the cell shown
offset from the most stable computed form = 103 meV per atom

Cell lengths 5.314, 4.082, 7.810 Å; angles 90.00, 90.00, 90.00 degrees
Fractional positions:
Mn 0.556 0.750 0.284
Mn 0.944 0.250 0.784
Mn 0.056 0.750 0.216
Mn 0.444 0.250 0.716
Co 0.656 0.750 0.605
Co 0.344 0.250 0.395
Co 0.156 0.750 0.895
Co 0.844 0.250 0.105
Mg 0.165 0.750 0.568
Mg 0.835 0.250 0.432
Mg 0.335 0.250 0.068
Mg 0.665 0.750 0.932

---

Mg3Au8 | PBE | relaxed

## Properties
magnetization = 0.000 μB per atom
VASP energy = -32.29 eV for the cell shown
offset from the most stable computed form = 302 meV per atom

Cell lengths 6.211, 6.211, 6.211 Å; angles 96.17, 96.17, 96.17 degrees
Fractional positions:
Au 0.640 0.640 0.640
Au 0.940 0.316 0.083
Au 0.917 0.060 0.684
Au 0.684 0.917 0.060
Au 0.060 0.684 0.917
Au 0.083 0.940 0.316
Au 0.360 0.360 0.360
Au 0.316 0.083 0.940
Mg 0.500 0.000 0.500
Mg 0.500 0.500 0.000
Mg 0.000 0.500 0.500

---

ErTaN3 | PBE | relaxed

## Properties
magnetization = 0.201 μB per atom
VASP energy = -93.10 eV for the cell shown
E_form (uncorrected) = -1032 meV/atom

Cell lengths 3.702, 5.576, 8.307 Å; angles 110.70, 90.00, 90.00 degrees
Fractional positions:
Ta 0.750 0.849 0.332
Ta 0.250 0.151 0.668
N 0.750 0.487 0.256
N 0.250 0.513 0.744
N 0.750 0.918 0.114
N 0.250 0.018 0.386
N 0.750 0.982 0.614
N 0.250 0.082 0.886
Er 0.250 0.218 0.176
Er 0.750 0.782 0.824

---

SrCr4Ag | PBE | relaxed

## Properties
magnetization = 0.000 μB per atom
VASP energy = -37.64 eV for the cell shown

Cell lengths 5.138, 5.138, 5.138 Å; angles 60.00, 60.00, 60.00 degrees
Fractional positions:
Ag 0.000 0.000 0.000
Cr 0.375 0.874 0.375
Cr 0.874 0.375 0.375
Cr 0.375 0.375 0.874
Cr 0.375 0.375 0.375
Sr 0.750 0.750 0.750